1.
Below is an optimized crystal structure of Sc4AlRe, with properties calculated at the PBE-GGA level.

## Properties
As for the calculated volume: 19.6 Å³ per atom.

The structure in POSCAR format:
```
Sc4AlRe
1.0
0.000 3.889 3.889
3.889 0.000 3.889
3.889 3.889 0.000
Sc Al Re
4 1 1
Cartesian
2.899 4.878 4.878 Sc
4.878 4.878 2.899 Sc
4.878 2.899 4.878 Sc
2.899 2.899 2.899 Sc
5.833 5.833 5.833 Al
0.000 0.000 0.000 Re
```

=====

2.
Below is an optimized crystal structure of Sc2AlRe, with properties calculated at the PBE-GGA level.

## Properties
As for the calculated volume: 18.6 Å³ per atom.

The structure in POSCAR format:
```
Sc2AlRe
1.0
2.895 -0.010 0.000
-0.860 2.765 0.000
0.000 0.000 9.303
Sc Re Al
2 1 1
Cartesian
0.000 0.000 8.997 Sc
1.018 1.377 2.541 Sc
1.018 1.377 6.830 Re
0.000 0.000 4.890 Al
```

=====

3.
Below is an optimized crystal structure of Sc3AlRe, with properties calculated at the PBE-GGA level.

## Properties
The energy above the most stable polymorph in this dataset is 0.796 eV/atom. As for the calculated volume: 23.6 Å³ per atom.

The structure in POSCAR format:
```
Sc3AlRe
1.0
-0.035 2.765 -4.054
-1.155 -3.945 -2.680
-4.769 0.936 0.679
Sc Re Al
3 1 1
Cartesian
-0.578 -1.973 -1.340 Sc
-2.385 0.468 0.339 Sc
-0.017 1.382 -2.027 Sc
-2.980 -0.122 -3.028 Re
0.000 0.000 0.000 Al
```

=====

4.
Below is an optimized crystal structure of ScAl2Re, with properties calculated at the PBE-GGA level.

## Properties
As for the calculated volume: 16.3 Å³ per atom.

The structure in POSCAR format:
```
ScAl2Re
1.0
4.262 0.000 0.000
0.000 2.784 0.015
0.000 1.731 5.516
Sc Re Al
1 1 2
Cartesian
2.131 3.386 4.148 Sc
2.131 1.129 1.383 Re
0.000 0.143 0.113 Al
0.000 2.114 2.653 Al
```

=====

5.
Below is an optimized crystal structure of ScAl2Re, with properties calculated at the PBE-GGA level.

## Properties
As for the calculated volume: 17.3 Å³ per atom.

The structure in POSCAR format:
```
ScAl2Re
1.0
9.271 -0.015 -0.009
8.802 2.909 -0.009
8.802 1.410 2.545
Sc Re Al
1 1 2
Cartesian
20.157 3.228 1.895 Sc
6.719 1.076 0.632 Re
26.620 4.263 2.503 Al
13.693 2.193 1.288 Al
```

=====

6.
Below is an optimized crystal structure of ScAl2Re, with properties calculated at the PBE-GGA level.

## Properties
As for the calculated volume: 16.4 Å³ per atom.

The structure in POSCAR format:
```
ScAl2Re
1.0
-0.708 -2.722 4.319
-2.852 -4.254 -0.578
4.256 2.222 -1.875
Sc Re Al
1 1 2
Cartesian
-0.208 -2.798 -0.271 Sc
-1.804 -3.536 1.896 Re
-3.536 -6.929 3.715 Al
0.904 -1.955 2.137 Al
```

=====

| no. | final energy (Ry per atom) |
| --- | --- |
| 1 | -0.4744 |
| 2 | -0.5294 |
| 3 | -0.4337 |
| 4 | -0.5006 |
| 5 | -0.4844 |
| 6 | -0.4973 |